Entry 1:
Here is a geometry-optimized TaTi2MnRh structure from Alexandria. Energies are from PBE. Values from VASP.

Results
formation energy: 0.927 eV/atom
space-group type: No. 123

```
&SYSTEM
  ibrav = 0, nat = 5, ntyp = 4
/
ATOMIC_SPECIES
Ti 47.87 Ti.upf
Mn 54.94 Mn.upf
Rh 102.91 Rh.upf
Ta 180.95 Ta.upf
CELL_PARAMETERS angstrom
-1.253 4.338 0.930
-1.025 0.657 -4.446
-4.126 -1.353 0.751
ATOMIC_POSITIONS angstrom
Ti -0.512 0.329 -2.223
Ti -0.626 2.169 0.465
Mn -2.063 -0.676 0.375
Rh 0.000 0.000 0.000
Ta -3.202 1.821 -1.383
```

***

Entry 2:
Here is a geometry-optimized Fe6Ni12Pt structure from Alexandria. Energies are from PBE. Values from VASP.

Results
formation energy: 0.287 eV/atom
space-group type: No. 166

```
&SYSTEM
  ibrav = 0, nat = 19, ntyp = 3
/
ATOMIC_SPECIES
Fe 55.84 Fe.upf
Ni 58.69 Ni.upf
Pt 195.08 Pt.upf
CELL_PARAMETERS angstrom
-2.529 -3.207 5.208
-2.993 -2.411 -5.388
6.379 -1.715 -0.408
ATOMIC_POSITIONS angstrom
Fe -0.777 -3.552 1.959
Fe 2.880 -2.939 -0.347
Fe -0.967 -3.225 -2.391
Fe -2.023 -4.394 -0.241
Fe 1.634 -3.781 -2.547
Fe 1.825 -4.108 1.803
Ni 0.608 -3.974 3.797
Ni -0.037 -5.470 0.834
Ni 2.038 -5.122 -0.474
Ni 1.002 -2.049 1.046
Ni -1.181 -2.211 -0.114
Ni 0.894 -1.863 -1.423
Ni 3.868 -3.091 -2.462
Ni -3.190 -3.935 -2.216
Ni 0.249 -3.359 -4.385
Ni -3.010 -4.242 1.874
Ni 4.047 -3.398 1.628
Ni -0.145 -5.284 -1.634
Pt 0.000 0.000 0.000
```

***

Entry 3:
Here is a geometry-optimized TcGe2O structure from Alexandria. Energies are from PBE. Values from VASP.

Results
space-group type: No. 122

```
&SYSTEM
  ibrav = 0, nat = 8, ntyp = 3
/
ATOMIC_SPECIES
Ge 72.64 Ge.upf
Tc 98.00 Tc.upf
O 16.00 O.upf
CELL_PARAMETERS angstrom
-2.230 1.039 -5.282
5.146 -1.268 -2.422
0.491 -3.532 -4.116
ATOMIC_POSITIONS angstrom
Ge -0.509 -0.447 -4.351
Ge 2.941 -1.490 -3.485
Ge 1.737 -2.802 -6.105
Ge 2.645 -2.781 -9.699
Tc 0.000 0.000 0.000
Tc -0.140 -1.303 -6.625
O 1.458 -0.114 -3.852
O 3.548 -2.457 -5.195
```

***

Entry 4:
Here is a geometry-optimized NaAlB structure from Alexandria. Energies are from PBE. Values from VASP.

Results
formation energy: 0.160 eV/atom
space-group type: No. 6

```
&SYSTEM
  ibrav = 0, nat = 6, ntyp = 3
/
ATOMIC_SPECIES
Na 22.99 Na.upf
B 10.81 B.upf
Al 26.98 Al.upf
CELL_PARAMETERS angstrom
3.484 0.000 -0.003
0.000 3.112 0.000
-1.728 0.000 9.774
ATOMIC_POSITIONS angstrom
Na 1.523 0.000 6.960
Na -0.229 1.556 3.945
B 1.512 0.000 2.324
B 1.513 1.556 1.795
Al -0.218 1.556 9.161
Al 3.253 0.000 0.977
```

***

Entry 5:
Here is a geometry-optimized Ac2TlPbO6 structure from Alexandria. Energies are from PBE. Values from VASP.

Results
space-group type: No. 146

```
&SYSTEM
  ibrav = 0, nat = 10, ntyp = 4
/
ATOMIC_SPECIES
Ac 227.00 Ac.upf
Tl 204.38 Tl.upf
Pb 207.20 Pb.upf
O 16.00 O.upf
CELL_PARAMETERS angstrom
6.203 0.000 0.000
3.101 5.372 0.000
3.101 1.791 5.265
ATOMIC_POSITIONS angstrom
Ac 6.202 3.581 2.103
Ac 3.101 1.791 4.739
Tl 3.101 1.791 0.390
Pb 9.304 5.372 3.011
O 5.132 1.430 1.375
O 4.875 5.583 1.375
O 8.600 3.730 1.376
O 7.284 5.010 4.012
O 6.899 1.930 4.012
O 4.424 3.804 4.012
```

***

Entry 6:
Here is a geometry-optimized Th8GeTe4As3 structure from Alexandria. Energies are from PBE. Values from VASP.

Results
space-group type: No. 166

```
&SYSTEM
  ibrav = 0, nat = 16, ntyp = 4
/
ATOMIC_SPECIES
Th 232.04 Th.upf
Ge 72.64 Ge.upf
Te 127.60 Te.upf
As 74.92 As.upf
CELL_PARAMETERS angstrom
-1.262 1.247 -8.430
-8.731 -1.234 1.124
4.004 6.014 4.692
ATOMIC_POSITIONS angstrom
Th -2.654 5.298 3.380
Th -4.655 2.293 1.036
Th -0.700 3.110 0.565
Th -3.284 5.921 -0.833
Th -2.704 0.105 -1.782
Th -5.288 2.916 -3.179
Th -1.333 3.734 -3.650
Th -3.334 0.728 -5.995
Ge -4.365 -0.617 0.562
Te -0.631 0.623 -4.215
Te 1.371 3.630 -1.869
Te 0.000 0.000 0.000
Te 2.002 3.007 2.346
As -4.996 0.006 -3.653
As -2.994 3.013 -1.307
As -2.363 2.390 2.908
```

***

no.,DFT total energy (eV/cell)
1,-39.53
2,-120.74
3,-49.64
4,-22.52
5,-64.50
6,-109.58